(1)
This record from Alexandria via LeMat-Bulk describes crystalline Ac7LaSn5 at its relaxed geometry. The functional is PBE.

Properties
E_form in eV/atom: -0.435
Space-group type: Imm2

```
Ac7LaSn5
1.0
6.949 0.000 0.000
3.475 8.316 0.152
3.475 0.125 8.316
Ac La Sn
7 1 5
direct
0.598 0.402 0.402
0.244 0.756 0.756
0.019 0.304 0.658
0.019 0.658 0.304
0.271 0.229 0.229
0.532 0.801 0.135
0.532 0.135 0.801
0.905 0.095 0.095
0.549 0.988 0.463
0.001 0.988 0.463
0.549 0.463 0.988
0.001 0.463 0.988
0.780 0.720 0.720
```


(2)
This record from Alexandria via LeMat-Bulk describes crystalline Mg3NiS at its relaxed geometry. The functional is PBE.

Properties
Space-group type: Pm-3m
Energy relative to the elements, uncorrected in meV per atom: 97
ΔE to the lowest computed polymorph in eV/f.u.: 0.114

```
Mg3NiS
1.0
-0.146 2.157 -4.206
1.687 -3.907 -2.063
-4.416 -1.563 -0.649
Ni S Mg
1 1 3
direct
0.500 0.500 0.500
0.000 0.000 0.000
0.000 0.500 0.000
0.000 0.000 0.500
0.500 0.000 0.000
```


(3)
This record from Alexandria via LeMat-Bulk describes crystalline CsAgBi at its relaxed geometry. The functional is PBE.

Properties
E_form in eV/atom: -0.155
Space-group type: P-1
ΔE to the lowest computed polymorph in eV/f.u.: 0.000

```
CsAgBi
1.0
-0.356 1.117 4.839
-5.061 -1.755 0.022
3.196 -7.974 2.071
Cs Ag Bi
2 2 2
direct
0.111 0.380 0.720
0.609 0.865 0.393
0.111 0.787 0.057
0.610 0.458 0.055
0.109 0.303 0.205
0.612 0.942 0.907
```


(4)
This record from Alexandria via LeMat-Bulk describes crystalline Tb3PdSe2 at its relaxed geometry. The functional is PBE.

Properties
Space-group type: Fddd
Energy relative to the elements, uncorrected in meV per atom: -1439

```
Tb3PdSe2
1.0
7.050 0.085 -1.320
-2.648 6.534 -1.320
-0.076 -0.114 12.877
Tb Pd Se
12 4 8
direct
0.163 0.674 0.830
0.667 0.156 0.830
0.087 0.076 0.670
0.583 0.594 0.670
0.007 0.507 0.500
0.493 0.993 0.500
0.406 0.417 0.330
0.924 0.913 0.330
0.844 0.333 0.170
0.326 0.837 0.170
0.243 0.243 0.000
0.757 0.757 0.000
0.917 0.917 0.833
0.333 0.833 0.667
0.167 0.667 0.333
0.083 0.083 0.167
0.999 0.499 0.997
0.419 0.419 0.838
0.831 0.331 0.662
0.251 0.251 0.503
0.749 0.749 0.497
0.669 0.169 0.338
0.581 0.581 0.162
0.501 0.001 0.003
```


Number 1: final energy -59.36 eV per cell, total magnetization 0.0 Bohr magnetons per cell, calculated volume 480.45 Å³/f.u.. Number 2: final energy -14.21 eV per cell, total magnetization 0.0 Bohr magnetons per cell, calculated volume 105.76 Å³/f.u.. Number 3: final energy -16.10 eV per cell, total magnetization 0.0 Bohr magnetons per cell, calculated volume 117.73 Å³/f.u.. Number 4: final energy -138.74 eV per cell, total magnetization 0.0 Bohr magnetons per cell, calculated volume 148.49 Å³/f.u..